A plane-wave DFT calculation with PBE with a Hubbard U was carried out for Rb4TlCr3F12 after structural relaxation.

abc: 7.6864 7.6864 7.6864
angles: 109.47 109.47 109.47
Closest atoms and distances in Å follow each position.
Positions (direct):
Rb 0.5000 0.5000 0.5000  12 F 3.14-3.15
Rb 0.0000 0.0000 0.5000  12 F 3.14-3.15
Rb 0.5000 0.0000 0.0000  12 F 3.14-3.15
Rb 0.0000 0.5000 0.0000  12 F 3.14-3.15
Tl 0.0000 0.0000 0.0000  6 F 2.52
Cr 0.5000 0.0000 0.5000  2 F 1.92
Cr 0.5000 0.5000 0.0000  2 F 1.92
Cr 0.0000 0.5000 0.5000  2 F 1.92
F 0.2500 0.5000 0.7500  2 Cr 2.22
F 0.7165 0.0000 0.7165  1 Cr 1.92
F 0.2835 0.0000 0.2835  1 Cr 1.92
F 0.7500 0.5000 0.2500  2 Cr 2.22
F 0.7165 0.7165 0.0000  1 Cr 1.92
F 0.2835 0.2835 0.0000  1 Cr 1.92
F 0.7500 0.2500 0.5000  2 Cr 2.22
F 0.2500 0.7500 0.5000  2 Cr 2.22
F 0.5000 0.2500 0.7500  2 Cr 2.22
F 0.0000 0.7165 0.7165  1 Cr 1.92
F 0.5000 0.7500 0.2500  2 Cr 2.22
F 0.0000 0.2835 0.2835  1 Cr 1.92

Computed properties:
- total magnetic moment (Bohr magnetons per cell) = 11.0
- E_tot (eV per atom) = -5.170
- space group = Im-3m, No. 229